A plane-wave DFT calculation with PBE was carried out for a geometry-optimized Cr2AgSb2 structure.

Results
Crystal system: tetragonal
Formation energy from raw total energies in kJ per mole of atoms: 30.1

a b c (Å): 7.4563 7.4563 3.3332
angles (deg): 90.00 90.00 90.00
Closest atoms and distances in Å follow each position.
Element x y z (fractional)
Cr 0.1329 0.3671 0.0000  6 Sb 2.73-2.77, 1 Cr 2.80, 2 Ag 2.91
Cr 0.3671 0.8671 0.0000  6 Sb 2.73-2.77, 1 Cr 2.80, 2 Ag 2.91
Cr 0.6329 0.1329 0.0000  6 Sb 2.73-2.77, 1 Cr 2.80, 2 Ag 2.91
Cr 0.8671 0.6329 0.0000  6 Sb 2.73-2.77, 1 Cr 2.80, 2 Ag 2.91
Ag 0.0000 0.0000 0.0000  4 Cr 2.91, 8 Sb 3.25
Ag 0.5000 0.5000 0.0000  4 Cr 2.91, 8 Sb 3.25
Sb 0.1618 0.6618 0.5000  6 Cr 2.73-2.77
Sb 0.3382 0.1618 0.5000  6 Cr 2.73-2.77
Sb 0.6618 0.8382 0.5000  6 Cr 2.73-2.77
Sb 0.8382 0.3382 0.5000  6 Cr 2.73-2.77

A plane-wave DFT calculation with PBE was carried out for a geometry-optimized CrAg2Sb structure.

Results
Crystal system: monoclinic
Formation energy from raw total energies in kJ per mole of atoms: 23.0

a b c (Å): 3.1342 4.0150 6.3898
angles (deg): 90.00 100.75 90.00
Closest atoms and distances in Å follow each position.
Element x y z (fractional)
Cr 0.0000 0.0000 0.0000  4 Sb 2.85-2.86, 5 Ag 2.91-3.01, 2 Cr 3.13
Ag 0.3990 0.5000 0.7452  6 Ag 2.85-3.13, 1 Sb 2.89, 4 Cr 3.00-3.01
Ag 0.8136 0.0000 0.5363  6 Ag 2.85-3.13, 2 Sb 2.91, 1 Cr 2.91
Sb 0.5773 0.5000 0.2053  4 Cr 2.85-2.86, 3 Ag 2.89-2.91, 2 Sb 3.13

A plane-wave DFT calculation with PBE was carried out for a geometry-optimized Cr4AgSb structure.

Results
Crystal system: cubic
Formation energy from raw total energies in kJ per mole of atoms: 48.0

a b c (Å): 4.9526 4.9526 4.9526
angles (deg): 60.00 60.00 60.00
Closest atoms and distances in Å follow each position.
Element x y z (fractional)
Cr 0.3783 0.3783 0.3783  6 Cr 2.41-2.54
Cr 0.3783 0.3783 0.8652  6 Cr 2.41-2.54
Cr 0.3783 0.8652 0.3783  6 Cr 2.41-2.54
Cr 0.8652 0.3783 0.3783  6 Cr 2.41-2.54
Ag 0.7500 0.7500 0.7500  12 Cr 2.90, 4 Sb 3.03
Sb 0.0000 0.0000 0.0000  12 Cr 2.91, 4 Ag 3.03

A plane-wave DFT calculation with PBE was carried out for a geometry-optimized Cr3AgSb structure.

Results
Polymorph energy (0 for the lowest one) in eV/atom: 0.0000
Crystal system: cubic
Formation energy from raw total energies in kJ per mole of atoms: 116.9

a b c (Å): 5.1886 5.1886 5.1886
angles (deg): 90.00 90.00 90.00
Closest atoms and distances in Å follow each position.
Element x y z (fractional)
Cr 0.0000 0.0000 0.5000  2 Sb 2.59
Cr 0.0000 0.5000 0.0000  2 Sb 2.59
Cr 0.5000 0.0000 0.0000  2 Sb 2.59
Ag 0.5000 0.5000 0.5000  12 Cr 3.67
Sb 0.0000 0.0000 0.0000  6 Cr 2.59

A plane-wave DFT calculation with PBE was carried out for a geometry-optimized CrAg2Sb2 structure.

Results
Crystal system: tetragonal
Formation energy from raw total energies in kJ per mole of atoms: 43.8

a b c (Å): 6.9550 6.9550 4.3351
angles (deg): 90.00 90.00 90.00
Closest atoms and distances in Å follow each position.
Element x y z (fractional)
Cr 0.0000 0.0000 0.0000  4 Sb 2.61
Cr 0.5000 0.5000 0.0000  4 Sb 2.61
Ag 0.1506 0.3494 0.5000  6 Sb 2.85-3.07, 1 Ag 2.96
Ag 0.3494 0.8494 0.5000  6 Sb 2.85-3.07, 1 Ag 2.96
Ag 0.6506 0.1506 0.5000  6 Sb 2.85-3.07, 1 Ag 2.96
Ag 0.8494 0.6506 0.5000  6 Sb 2.85-3.07, 1 Ag 2.96
Sb 0.1610 0.6610 0.0000  2 Cr 2.61, 2 Ag 2.85
Sb 0.3390 0.1610 0.0000  2 Cr 2.61, 2 Ag 2.85
Sb 0.6610 0.8390 0.0000  2 Cr 2.61, 2 Ag 2.85
Sb 0.8390 0.3390 0.0000  2 Cr 2.61, 2 Ag 2.85

A plane-wave DFT calculation with PBE was carried out for a geometry-optimized CrAg2Sb structure.

Results
Crystal system: monoclinic
Formation energy from raw total energies in kJ per mole of atoms: 25.9

a b c (Å): 3.2088 5.1349 4.7862
angles (deg): 90.00 90.44 90.00
Closest atoms and distances in Å follow each position.
Element x y z (fractional)
Cr 0.0000 0.0000 0.0000  4 Sb 2.87-2.89, 4 Ag 2.94, 2 Cr 3.21
Ag 0.2583 0.5000 0.7583  4 Ag 2.78-2.97, 2 Cr 2.94, 2 Sb 2.96
Ag 0.7417 0.5000 0.2417  4 Ag 2.78-2.97, 2 Cr 2.94, 2 Sb 2.96
Sb 0.5000 0.0000 0.5000  4 Cr 2.87-2.89, 4 Ag 2.96, 2 Sb 3.21

A plane-wave DFT calculation with PBE was carried out for a geometry-optimized CrAg2Sb structure.

Results
Crystal system: tetragonal
Formation energy from raw total energies in kJ per mole of atoms: 19.6

a b c (Å): 4.0626 4.0626 4.5948
angles (deg): 90.00 90.00 90.00
Closest atoms and distances in Å follow each position.
Element x y z (fractional)
Cr 0.0000 0.0000 0.0000  4 Sb 2.87, 8 Ag 3.07
Ag 0.0000 0.5000 0.5000  4 Ag 2.87, 4 Cr 3.07, 4 Sb 3.07
Ag 0.5000 0.0000 0.5000  4 Ag 2.87, 4 Cr 3.07, 4 Sb 3.07
Sb 0.5000 0.5000 0.0000  4 Cr 2.87, 8 Ag 3.07

A plane-wave DFT calculation with PBE was carried out for a geometry-optimized CrAg2Sb structure.

Results
Crystal system: tetragonal
Formation energy from raw total energies in kJ per mole of atoms: 25.4

a b c (Å): 3.5047 3.5047 6.3270
angles (deg): 90.00 90.00 90.00
Closest atoms and distances in Å follow each position.
Element x y z (fractional)
Cr 0.0000 0.0000 0.0000  4 Sb 2.85, 5 Ag 2.93-2.99
Ag 0.0000 0.0000 0.5269  4 Ag 2.86, 1 Cr 2.99, 4 Sb 3.14
Ag 0.5000 0.5000 0.7518  4 Ag 2.86, 4 Cr 2.93, 1 Sb 2.97
Sb 0.5000 0.5000 0.2213  4 Cr 2.85, 5 Ag 2.97-3.14

| no. | uncorrected energy (eV per atom) |
| --- | --- |
| 1 | -5.76 |
| 2 | -4.62 |
| 3 | -7.08 |
| 4 | -5.96 |
| 5 | -4.26 |
| 6 | -4.59 |
| 7 | -4.66 |
| 8 | -4.60 |